# GGA-PBE Mn4NbGa, relaxed
data_Mn4NbGa
_chemical_formula_sum 'Mn4 Nb1 Ga1'
_cell_length_a 4.768
_cell_length_b 4.768
_cell_length_c 4.768
_cell_angle_alpha 60.00
_cell_angle_beta 60.00
_cell_angle_gamma 60.00
_symmetry_space_group_name_H-M 'P 1'
_symmetry_Int_Tables_number 1
loop_
_symmetry_equiv_pos_as_xyz
'x,y,z'
loop_
_atom_site_label
_atom_site_fract_x
_atom_site_fract_y
_atom_site_fract_z
Nb1 0.250 0.250 0.250
Mn1 0.626 0.122 0.626
Ga1 0.000 0.000 0.000
Mn2 0.626 0.626 0.626
Mn3 0.626 0.626 0.122
Mn4 0.122 0.626 0.626
# Magnetization (μB per formula unit): 3.225
# Energy (eV per atom): -8.40
# ΔE_f (eV/atom): -0.10